## a
An optimized crystal structure of PrHo4Tm4, computed with PBE-GGA.

Magnetic moment: 0.0 μB/cell
Crystal system: tetragonal

Unit cell a=4.984 b=7.897 c=7.897 alpha=84.29 beta=71.61 gamma=71.61
Fractional coordinates of all 9 atoms:
Ho (0.332, 0.336, 0.000)
Ho (0.668, 0.000, 0.664)
Tm (0.000, 0.665, 0.335)
Tm (0.000, 0.335, 0.665)
Tm (0.335, 0.665, 0.665)
Pr (0.000, 0.000, 0.000)
Ho (0.332, 0.000, 0.336)
Tm (0.665, 0.335, 0.335)
Ho (0.668, 0.664, 0.000)



## b
An optimized crystal structure of PrHo4Tm4, computed with PBE-GGA.

Magnetic moment: 0.0 μB/cell
Crystal system: triclinic

Unit cell a=6.899 b=8.330 c=5.596 alpha=70.30 beta=90.03 gamma=100.37
Fractional coordinates of all 9 atoms:
Ho (0.532, 0.635, 0.182)
Tm (0.299, 0.797, 0.601)
Ho (0.468, 0.365, 0.818)
Ho (0.809, 0.764, 0.618)
Tm (0.984, 0.403, 0.799)
Tm (0.016, 0.597, 0.201)
Ho (0.191, 0.236, 0.382)
Pr (0.000, 0.000, 0.000)
Tm (0.701, 0.203, 0.399)



Relative stability in kJ/mol of atoms, measured from the most stable structure: a 0.0; b 14.8



## a
An optimized crystal structure of Pr2Ho2Tm, computed with PBE-GGA.

Magnetic moment: 0.0 μB/cell
Crystal system: orthorhombic

Unit cell a=6.252 b=6.892 c=8.807 alpha=113.03 beta=90.00 gamma=90.00
Fractional coordinates of all 10 atoms:
Pr (0.750, 0.830, 0.660)
Tm (0.500, 0.000, 0.000)
Ho (0.250, 0.592, 0.661)
Ho (0.250, 0.070, 0.661)
Tm (0.000, 0.000, 0.000)
Ho (0.750, 0.930, 0.339)
Pr (0.250, 0.598, 0.197)
Ho (0.750, 0.408, 0.339)
Pr (0.750, 0.402, 0.803)
Pr (0.250, 0.170, 0.340)



## b
An optimized crystal structure of Pr2Ho2Tm, computed with PBE-GGA.

Magnetic moment: 0.0 μB/cell
Crystal system: monoclinic

Unit cell a=3.590 b=3.590 c=15.103 alpha=96.72 beta=83.17 gamma=60.00
Fractional coordinates of all 5 atoms:
Ho (0.642, 0.024, 0.692)
Tm (0.500, 0.500, 0.500)
Pr (0.775, 0.557, 0.893)
Ho (0.358, 0.976, 0.308)
Pr (0.225, 0.443, 0.107)



Relative stability in kJ/mol of atoms, measured from the most stable structure: a 24.5; b 0.0



## a
An optimized crystal structure of Pr5Ho2Tm4, computed with PBE-GGA.

Magnetic moment: 0.0 μB/cell
Crystal system: monoclinic

Unit cell a=3.553 b=11.642 c=9.012 alpha=93.88 beta=101.37 gamma=90.00
Fractional coordinates of all 11 atoms:
Tm (0.640, 0.795, 0.280)
Pr (0.177, 0.071, 0.353)
Ho (0.716, 0.351, 0.432)
Pr (0.823, 0.929, 0.647)
Pr (0.097, 0.535, 0.195)
Ho (0.284, 0.649, 0.568)
Pr (0.903, 0.465, 0.805)
Pr (0.500, 0.000, 0.000)
Tm (0.360, 0.205, 0.720)
Tm (0.035, 0.260, 0.070)
Tm (0.965, 0.740, 0.930)



## b
An optimized crystal structure of Pr5Ho2Tm4, computed with PBE-GGA.

Magnetic moment: 0.0 μB/cell
Crystal system: orthorhombic

Unit cell a=3.531 b=9.132 c=12.781 alpha=110.93 beta=97.94 gamma=90.00
Fractional coordinates of all 11 atoms:
Tm (0.000, 0.683, 0.000)
Tm (0.000, 0.317, 0.000)
Pr (0.854, 0.653, 0.708)
Tm (0.596, 0.596, 0.192)
Ho (0.270, 0.270, 0.540)
Pr (0.854, 0.056, 0.708)
Pr (0.500, 0.000, 0.000)
Ho (0.730, 0.730, 0.460)
Pr (0.146, 0.347, 0.292)
Tm (0.404, 0.404, 0.808)
Pr (0.146, 0.944, 0.292)



Relative stability in kJ/mol of atoms, measured from the most stable structure: a 0.0; b 10.4



## a
An optimized crystal structure of Pr3HoTm, computed with PBE-GGA.

Magnetic moment: 0.0 μB/cell
Crystal system: orthorhombic

Unit cell a=6.449 b=8.707 c=8.707 alpha=46.85 beta=90.00 gamma=90.00
Fractional coordinates of all 10 atoms:
Tm (0.000, 0.426, 0.574)
Pr (0.250, 0.322, 0.322)
Ho (0.250, 0.921, 0.921)
Pr (0.208, 0.897, 0.390)
Pr (0.750, 0.678, 0.678)
Tm (0.500, 0.574, 0.426)
Ho (0.750, 0.079, 0.079)
Pr (0.708, 0.103, 0.610)
Pr (0.792, 0.610, 0.103)
Pr (0.292, 0.390, 0.897)



## b
An optimized crystal structure of Pr3HoTm, computed with PBE-GGA.

Magnetic moment: 0.0 μB/cell
Crystal system: orthorhombic

Unit cell a=6.030 b=6.038 c=9.768 alpha=108.00 beta=90.00 gamma=90.00
Fractional coordinates of all 10 atoms:
Pr (0.250, 0.037, 0.293)
Ho (0.250, 0.430, 0.094)
Pr (0.250, 0.804, 0.885)
Ho (0.750, 0.337, 0.906)
Pr (0.750, 0.140, 0.516)
Pr (0.250, 0.624, 0.484)
Pr (0.750, 0.919, 0.115)
Tm (0.250, 0.213, 0.702)
Pr (0.750, 0.744, 0.707)
Tm (0.750, 0.511, 0.298)



Relative stability in kJ/mol of atoms, measured from the most stable structure: a 17.2; b 0.0



## a
An optimized crystal structure of Pr5Ho2Tm12, computed with PBE-GGA.

Magnetic moment: 0.0 μB/cell
Crystal system: triclinic

Unit cell a=6.729 b=14.798 c=12.541 alpha=139.95 beta=68.32 gamma=129.04
Fractional coordinates of all 19 atoms:
Pr (0.769, 0.503, 0.394)
Tm (0.617, 0.405, 0.604)
Tm (0.077, 0.387, 0.800)
Ho (0.760, 0.147, 0.182)
Tm (0.923, 0.613, 0.200)
Tm (0.666, 0.773, 0.962)
Tm (0.188, 0.124, 0.250)
Tm (0.334, 0.227, 0.038)
Tm (0.900, 0.247, 0.969)
Pr (0.231, 0.497, 0.606)
Pr (0.492, 0.665, 0.171)
Tm (0.617, 0.053, 0.397)
Pr (0.000, 0.000, 0.500)
Tm (0.812, 0.876, 0.750)
Pr (0.508, 0.335, 0.829)
Ho (0.240, 0.853, 0.818)
Tm (0.383, 0.947, 0.603)
Tm (0.383, 0.595, 0.396)
Tm (0.100, 0.753, 0.031)



## b
An optimized crystal structure of Pr5Ho2Tm12, computed with PBE-GGA.

Magnetic moment: 0.0 μB/cell
Crystal system: monoclinic

Unit cell a=7.018 b=9.788 c=10.337 alpha=70.27 beta=90.00 gamma=111.01
Fractional coordinates of all 19 atoms:
Tm (0.024, 0.049, 0.754)
Pr (0.187, 0.375, 0.819)
Tm (0.415, 0.325, 0.480)
Pr (0.813, 0.625, 0.181)
Tm (0.090, 0.685, 0.868)
Pr (0.000, 0.000, 0.500)
Pr (0.682, 0.364, 0.790)
Tm (0.910, 0.325, 0.480)
Tm (0.405, 0.315, 0.132)
Ho (0.728, 0.000, 0.000)
Ho (0.272, 0.000, 0.000)
Tm (0.585, 0.675, 0.520)
Pr (0.318, 0.636, 0.210)
Tm (0.498, 0.996, 0.676)
Tm (0.090, 0.675, 0.520)
Tm (0.595, 0.685, 0.868)
Tm (0.976, 0.951, 0.246)
Tm (0.910, 0.315, 0.132)
Tm (0.502, 0.004, 0.324)



Relative stability in kJ/mol of atoms, measured from the most stable structure: a 0.0; b 10.9



## a
An optimized crystal structure of Pr2HoTm6, computed with PBE-GGA.

Magnetic moment: 0.0 μB/cell
Crystal system: monoclinic

Unit cell a=6.525 b=9.525 c=9.525 alpha=95.95 beta=81.12 gamma=81.12
Fractional coordinates of all 18 atoms:
Pr (0.876, 0.383, 0.329)
Tm (0.686, 0.221, 0.041)
Pr (0.124, 0.617, 0.671)
Ho (0.250, 0.117, 0.883)
Tm (0.314, 0.779, 0.959)
Tm (0.233, 0.461, 0.057)
Ho (0.750, 0.883, 0.117)
Pr (0.624, 0.671, 0.617)
Tm (0.767, 0.539, 0.943)
Tm (0.267, 0.943, 0.539)
Tm (0.502, 0.655, 0.275)
Tm (0.733, 0.057, 0.461)
Tm (0.814, 0.959, 0.779)
Tm (0.002, 0.275, 0.655)
Pr (0.376, 0.329, 0.383)
Tm (0.498, 0.345, 0.725)
Tm (0.186, 0.041, 0.221)
Tm (0.998, 0.725, 0.345)



## b
An optimized crystal structure of Pr2HoTm6, computed with PBE-GGA.

Magnetic moment: 0.0 μB/cell
Crystal system: monoclinic

Unit cell a=9.033 b=8.851 c=8.851 alpha=82.44 beta=64.00 gamma=64.00
Fractional coordinates of all 18 atoms:
Tm (0.815, 0.188, 0.006)
Pr (0.435, 0.216, 0.401)
Tm (0.185, 0.812, 0.994)
Pr (0.065, 0.599, 0.784)
Tm (0.960, 0.334, 0.597)
Tm (0.460, 0.597, 0.334)
Tm (0.315, 0.006, 0.188)
Tm (0.040, 0.666, 0.403)
Tm (0.540, 0.403, 0.666)
Tm (0.685, 0.994, 0.812)
Pr (0.935, 0.401, 0.216)
Ho (0.250, 0.172, 0.828)
Tm (0.360, 0.390, 0.062)
Tm (0.860, 0.062, 0.390)
Tm (0.640, 0.610, 0.938)
Ho (0.750, 0.828, 0.172)
Pr (0.565, 0.784, 0.599)
Tm (0.140, 0.938, 0.610)



Relative stability in kJ/mol of atoms, measured from the most stable structure: a 3.9; b 0.0



## a
An optimized crystal structure of Pr6Ho5Tm, computed with PBE-GGA.

Magnetic moment: 0.0 μB/cell
Crystal system: orthorhombic

Unit cell a=5.160 b=10.077 c=9.563 alpha=121.80 beta=105.66 gamma=89.98
Fractional coordinates of all 12 atoms:
Ho (0.667, 0.667, 0.333)
Pr (0.167, 0.416, 0.333)
Tm (0.000, 0.000, 0.000)
Pr (0.500, 0.750, 0.000)
Ho (0.666, 0.166, 0.333)
Pr (0.833, 0.083, 0.667)
Ho (0.333, 0.333, 0.667)
Pr (0.500, 0.250, 0.000)
Pr (0.167, 0.917, 0.333)
Pr (0.833, 0.584, 0.667)
Ho (0.000, 0.500, 0.000)
Ho (0.334, 0.834, 0.667)



## b
An optimized crystal structure of Pr6Ho5Tm, computed with PBE-GGA.

Magnetic moment: 0.0 μB/cell
Crystal system: monoclinic

Unit cell a=11.837 b=6.288 c=6.288 alpha=60.00 beta=84.92 gamma=79.81
Fractional coordinates of all 12 atoms:
Pr (0.250, 0.916, 0.667)
Pr (0.750, 0.084, 0.333)
Pr (0.750, 0.417, 0.667)
Pr (0.250, 0.250, 0.000)
Pr (0.250, 0.583, 0.333)
Ho (0.000, 0.667, 0.667)
Ho (0.000, 0.333, 0.333)
Ho (0.500, 0.167, 0.667)
Pr (0.750, 0.750, 0.000)
Ho (0.500, 0.500, 0.000)
Ho (0.500, 0.833, 0.333)
Tm (0.000, 0.000, 0.000)



Relative stability in kJ/mol of atoms, measured from the most stable structure: a 0.5; b 0.0



## a
An optimized crystal structure of Pr6HoTm2, computed with PBE-GGA.

Magnetic moment: 0.0 μB/cell
Crystal system: monoclinic

Unit cell a=6.284 b=10.174 c=10.174 alpha=71.81 beta=84.88 gamma=84.88
Fractional coordinates of all 18 atoms:
Pr (0.013, 0.591, 0.311)
Pr (0.653, 0.076, 0.356)
Pr (0.347, 0.924, 0.644)
Pr (0.513, 0.311, 0.591)
Tm (0.083, 0.232, 0.435)
Pr (0.681, 0.259, 0.978)
Ho (0.750, 0.899, 0.101)
Ho (0.250, 0.101, 0.899)
Pr (0.847, 0.644, 0.924)
Pr (0.181, 0.978, 0.259)
Pr (0.987, 0.409, 0.689)
Pr (0.819, 0.022, 0.741)
Pr (0.487, 0.689, 0.409)
Tm (0.417, 0.565, 0.768)
Tm (0.583, 0.435, 0.232)
Pr (0.153, 0.356, 0.076)
Pr (0.319, 0.741, 0.022)
Tm (0.917, 0.768, 0.565)



## b
An optimized crystal structure of Pr6HoTm2, computed with PBE-GGA.

Magnetic moment: 0.0 μB/cell
Crystal system: orthorhombic

Unit cell a=3.681 b=10.071 c=10.071 alpha=55.99 beta=90.00 gamma=90.00
Fractional coordinates of all 9 atoms:
Pr (0.500, 0.316, 0.684)
Pr (0.500, 0.684, 0.316)
Tm (0.500, 0.825, 0.825)
Tm (0.500, 0.175, 0.175)
Pr (0.000, 0.510, 0.159)
Ho (0.000, 0.000, 0.000)
Pr (0.000, 0.159, 0.510)
Pr (0.000, 0.841, 0.490)
Pr (0.000, 0.490, 0.841)



Relative stability in kJ/mol of atoms, measured from the most stable structure: a 0.0; b 4.6



## a
An optimized crystal structure of Pr4HoTm7, computed with PBE-GGA.

Magnetic moment: 0.0 μB/cell
Crystal system: triclinic

Unit cell a=7.122 b=7.990 c=11.795 alpha=61.81 beta=41.19 gamma=63.36
Fractional coordinates of all 12 atoms:
Tm (0.997, 0.330, 0.670)
Ho (0.000, 0.000, 0.000)
Pr (0.749, 0.830, 0.668)
Tm (0.753, 0.165, 0.331)
Pr (0.251, 0.170, 0.332)
Tm (0.003, 0.670, 0.330)
Tm (0.500, 0.000, 0.000)
Pr (0.504, 0.665, 0.331)
Pr (0.496, 0.335, 0.669)
Tm (0.247, 0.835, 0.669)
Tm (0.249, 0.499, 0.001)
Tm (0.751, 0.501, 0.999)



## b
An optimized crystal structure of Pr4HoTm7, computed with PBE-GGA.

Magnetic moment: 0.0 μB/cell
Crystal system: monoclinic

Unit cell a=5.874 b=11.774 c=6.695 alpha=84.76 beta=63.98 gamma=75.56
Fractional coordinates of all 12 atoms:
Tm (0.500, 0.000, 0.000)
Tm (0.963, 0.367, 0.706)
Tm (0.644, 0.487, 0.225)
Ho (0.000, 0.000, 0.000)
Pr (0.709, 0.704, 0.878)
Pr (0.638, 0.224, 0.500)
Pr (0.291, 0.296, 0.122)
Pr (0.362, 0.776, 0.500)
Tm (0.037, 0.633, 0.294)
Tm (0.209, 0.081, 0.502)
Tm (0.791, 0.919, 0.498)
Tm (0.356, 0.513, 0.775)



Relative stability in kJ/mol of atoms, measured from the most stable structure: a 0.0; b 24.9



## a
An optimized crystal structure of Pr2Ho8Tm, computed with PBE-GGA.

Magnetic moment: 0.0 μB/cell
Crystal system: monoclinic

Unit cell a=6.618 b=6.673 c=8.874 alpha=99.70 beta=111.89 gamma=90.00
Fractional coordinates of all 11 atoms:
Ho (0.175, 0.602, 0.830)
Ho (0.196, 0.802, 0.392)
Ho (0.804, 0.198, 0.608)
Tm (0.000, 0.000, 0.000)
Pr (0.755, 0.688, 0.509)
Ho (0.411, 0.092, 0.821)
Ho (0.589, 0.908, 0.179)
Ho (0.345, 0.398, 0.170)
Ho (0.655, 0.602, 0.830)
Ho (0.825, 0.398, 0.170)
Pr (0.245, 0.312, 0.491)



## b
An optimized crystal structure of Pr2Ho8Tm, computed with PBE-GGA.

Magnetic moment: 0.0 μB/cell
Crystal system: monoclinic

Unit cell a=5.882 b=9.020 c=9.185 alpha=60.59 beta=74.61 gamma=57.27
Fractional coordinates of all 11 atoms:
Pr (0.000, 0.306, 0.387)
Ho (0.828, 0.098, 0.229)
Ho (0.500, 0.793, 0.414)
Pr (0.000, 0.694, 0.613)
Ho (0.172, 0.902, 0.771)
Ho (0.500, 0.207, 0.586)
Ho (0.702, 0.574, 0.000)
Tm (0.500, 0.000, 0.000)
Ho (0.172, 0.672, 0.229)
Ho (0.828, 0.328, 0.771)
Ho (0.298, 0.426, 0.000)



Relative stability in kJ/mol of atoms, measured from the most stable structure: a 1.3; b 0.0